VASP calculation (PBE) on a geometry-optimized NaLaTmPb structure.

Unit cell a=5.5204 b=5.5204 c=5.5204 alpha=60.00 beta=60.00 gamma=60.00
Last column: nearest neighbours and their distance in Å.
Fractional coordinates of all 4 atoms:
Na 0.0000 0.0000 0.0000  4 Tm 3.38, 4 La 3.38
La 0.2500 0.2500 0.2500  4 Pb 3.38, 4 Na 3.38
Tm 0.7500 0.7500 0.7500  4 Pb 3.38, 4 Na 3.38
Pb 0.5000 0.5000 0.5000  4 Tm 3.38, 4 La 3.38

The value obtained for the density of states at the Fermi level is 3.31 states/eV/cell. For the uncorrected energy, the calculation gives -3.769 eV/atom.